Mg2GeBi2 | PBE-GGA | optimized geometry

Computed properties:
* total magnetic moment: 0.00 μB/cell
* Fermi-level density of states: 5.1 states/eV per cell
* energy relative to the elements: 0.057 eV per atom

Lattice parameters (Å, degrees): 7.241 7.241 5.016 90.00 90.00 90.00
Space group P4/mbm (No. 127)
One atom of each set of equivalent atoms:
Mg 0.153 0.347 0.000 [4 per cell]
Ge 0.000 0.000 0.000 [2 per cell]
Bi 0.156 0.656 0.500 [4 per cell]


MgGe2Bi2 | PBE-GGA | optimized geometry

Computed properties:
* total magnetic moment: 0.00 μB/cell
* Fermi-level density of states: 4.9 states/eV per cell
* energy relative to the elements: 0.150 eV per atom

Lattice parameters (Å, degrees): 5.850 5.850 7.941 90.00 90.00 90.00
Space group I4/mmm (No. 139)
One atom of each set of equivalent atoms:
Mg 0.000 0.000 0.000 [2 per cell]
Ge 0.000 0.000 0.341 [4 per cell]
Bi 0.000 0.500 0.250 [4 per cell]


Mg6GeBi2 | PBE-GGA | optimized geometry

Computed properties:
* total magnetic moment: 0.00 μB/cell
* Fermi-level density of states: 7.4 states/eV per cell
* energy relative to the elements: -0.113 eV per atom

Lattice parameters (Å, degrees): 4.864 7.116 14.140 90.00 90.00 90.00
Space group Immm (No. 71)
One atom of each set of equivalent atoms:
Mg 0.000 0.211 0.000 [4 per cell]
Mg 0.000 0.264 0.344 [8 per cell]
Ge 0.000 0.500 0.500 [2 per cell]
Bi 0.000 0.500 0.163 [4 per cell]


Repeat the first record exactly.
Mg2GeBi2 | PBE-GGA | optimized geometry

Computed properties:
* total magnetic moment: 0.00 μB/cell
* Fermi-level density of states: 5.1 states/eV per cell
* energy relative to the elements: 0.057 eV per atom

Lattice parameters (Å, degrees): 7.241 7.241 5.016 90.00 90.00 90.00
Space group P4/mbm (No. 127)
One atom of each set of equivalent atoms:
Mg 0.153 0.347 0.000 [4 per cell]
Ge 0.000 0.000 0.000 [2 per cell]
Bi 0.156 0.656 0.500 [4 per cell]


Which of these has the highest energy relative to the elements? MgGe2Bi2


Number 3 is which compound? Mg6GeBi2